# LiZn2Fe4O8 (GGA+U, optimized geometry)
# - E_tot: -172.5 eV/cell
# - Total magnetic moment: 1.13 μB per atom
# - Excess energy over the best structure of this formula in the dataset: 87 meV/atom
# - Volume: 321 Å³ per cell
data_LiZn2Fe4O8
_chemical_formula_sum 'Li2 Zn4 Fe8 O16'
_cell_length_a 10.321
_cell_length_b 5.973
_cell_length_c 6.262
_cell_angle_alpha 90.00
_cell_angle_beta 123.68
_cell_angle_gamma 90.00
_symmetry_space_group_name_H-M 'C 1 2/m 1'
_symmetry_Int_Tables_number 12
loop_
_symmetry_equiv_pos_as_xyz
'x,y,z'
'-x,-y,-z'
'-x,y,-z'
'x,-y,z'
'x+1/2,y+1/2,z'
'-x+1/2,-y+1/2,-z'
'-x+1/2,y+1/2,-z'
'x+1/2,-y+1/2,z'
loop_
_atom_site_label
_atom_site_type_symbol
_atom_site_fract_x
_atom_site_fract_y
_atom_site_fract_z
Li1 Li 0.000 0.000 0.000
Zn1 Zn 0.000 0.500 0.000
Zn2 Zn 0.000 0.500 0.500
Fe1 Fe 0.143 0.000 0.435
Fe2 Fe 0.250 0.250 0.000
O1 O 0.000 0.245 0.252
O2 O 0.236 0.500 0.201
O3 O 0.244 0.000 0.249